Record 1
Density functional theory data (PBE) for crystalline Li2NbPd at its relaxed geometry.

Structure (POSCAR):
```
Li2NbPd
1.0
7.035 0.000 0.000
0.000 7.035 0.000
3.517 3.517 2.613
Nb Li Pd
2 4 2
Cartesian
3.517 7.035 1.307 Nb
3.517 3.517 0.000 Nb
1.556 5.276 0.653 Li
5.478 1.759 0.653 Li
8.793 8.996 1.960 Li
5.276 5.074 1.960 Li
0.000 0.000 0.000 Pd
7.035 3.517 1.307 Pd
```

Computed properties:
Formation enthalpy at 0 K: 448 meV/atom
N(E_F): 7.269 states/eV/cell
Energy: -34.60 eV per cell
Calculated volume: 129 Å³ per cell

Record 2
Density functional theory data (PBE) for crystalline LiNbPd2 at its relaxed geometry.

Structure (POSCAR):
```
LiNbPd2
1.0
2.878 0.000 0.000
1.439 2.492 0.000
1.439 0.831 8.750
Pd Nb Li
2 1 1
Cartesian
1.439 0.831 2.107 Pd
4.317 2.492 6.644 Pd
2.878 1.662 4.375 Nb
0.000 0.000 0.000 Li
```

Computed properties:
Formation enthalpy at 0 K: -264 meV/atom
N(E_F): 2.493 states/eV/cell
Energy: -23.43 eV per cell
Calculated volume: 63 Å³ per cell

Record 3
Density functional theory data (PBE) for crystalline LiNb2Pd at its relaxed geometry.

Structure (POSCAR):
```
LiNb2Pd
1.0
7.410 0.000 0.000
0.000 7.410 0.000
3.705 3.705 2.566
Pd Li Nb
2 2 4
Cartesian
7.410 3.705 1.283 Pd
0.000 0.000 0.000 Pd
3.705 7.410 1.283 Li
3.705 3.705 0.000 Li
1.724 5.558 0.641 Nb
9.263 9.391 1.924 Nb
5.558 5.429 1.924 Nb
5.686 1.853 0.641 Nb
```

Computed properties:
Formation enthalpy at 0 K: 390 meV/atom
N(E_F): 7.565 states/eV/cell
Energy: -51.37 eV per cell
Calculated volume: 141 Å³ per cell

Record 4
Density functional theory data (PBE) for crystalline LiNbPd5 at its relaxed geometry.

Structure (POSCAR):
```
LiNbPd5
1.0
4.031 0.000 0.000
0.000 4.031 0.000
0.000 0.000 6.694
Pd Li Nb
5 1 1
Cartesian
2.015 0.000 1.458 Pd
2.015 0.000 5.236 Pd
2.015 2.015 3.347 Pd
0.000 2.015 5.236 Pd
0.000 2.015 1.458 Pd
2.015 2.015 0.000 Li
0.000 0.000 3.347 Nb
```

Computed properties:
Formation enthalpy at 0 K: -294 meV/atom
N(E_F): 4.750 states/eV/cell
Energy: -40.00 eV per cell
Calculated volume: 109 Å³ per cell

Record 5
Density functional theory data (PBE) for crystalline LiNbPd2 at its relaxed geometry.

Structure (POSCAR):
```
LiNbPd2
1.0
-3.647 2.582 5.189
0.337 -6.026 3.235
0.684 -0.923 5.458
Pd Nb Li
4 2 2
Cartesian
-2.391 -3.586 11.400 Pd
-0.722 -2.104 7.317 Pd
-0.147 -3.623 4.139 Pd
-1.994 0.578 4.909 Pd
0.000 0.000 0.000 Nb
-2.309 -0.032 7.430 Nb
-0.317 -4.336 6.453 Li
-1.655 -1.722 4.212 Li
```

Computed properties:
Formation enthalpy at 0 K: 124 meV/atom
N(E_F): 8.750 states/eV/cell
Energy: -43.75 eV per cell
Calculated volume: 130 Å³ per cell

Record 6
Density functional theory data (PBE) for crystalline LiNb2Pd3 at its relaxed geometry.

Structure (POSCAR):
```
LiNb2Pd3
1.0
-1.992 -1.484 -1.449
0.021 -2.024 2.043
-8.098 5.486 5.519
Pd Li Nb
3 1 2
Cartesian
0.000 0.000 0.000 Pd
-5.237 3.548 3.569 Pd
-2.860 1.938 1.949 Pd
-5.034 0.989 3.056 Li
-7.615 2.737 4.815 Nb
-2.454 -0.759 1.298 Nb
```

Computed properties:
Formation enthalpy at 0 K: -357 meV/atom
N(E_F): 4.152 states/eV/cell
Energy: -39.78 eV per cell
Calculated volume: 93 Å³ per cell

The lowest energy belongs to which entry? LiNb2Pd

calculated volume of number 5 (LiNbPd2)? 130 Å³ per cell

Look up the calculated volume of the second one. 63 Å³ per cell